HfNbBiO6, relaxed, DFT PBE; crystal system = tetragonal; symmetry = P4_2nm, No. 102
1.0
5.011 0.000 0.000
0.000 5.011 0.000
0.000 0.000 9.936
Hf Nb Bi O
2 2 2 12
Cartesian
0.000 0.000 0.000 Hf
2.506 2.506 4.968 Hf
0.000 0.000 3.332 Nb
2.506 2.506 8.300 Nb
0.000 0.000 6.655 Bi
2.506 2.506 1.687 Bi
0.874 0.874 1.687 O
1.024 1.024 4.703 O
1.059 1.059 8.454 O
1.447 3.564 3.486 O
1.482 3.529 9.671 O
1.632 3.379 6.655 O
3.379 1.632 6.655 O
3.529 1.482 9.671 O
3.564 1.447 3.486 O
3.952 3.952 8.454 O
3.987 3.987 4.703 O
4.137 4.137 1.687 O

---

InMoS2N, relaxed, DFT PBE; polymorph energy (0 for the lowest one) = 934 meV per atom; crystal system = tetragonal; symmetry = P4/mmm, No. 123
1.0
4.563 0.000 0.000
0.000 4.563 0.000
0.000 0.000 5.638
In Mo S N
1 1 2 1
Cartesian
0.000 0.000 0.000 In
0.000 0.000 2.819 Mo
0.000 2.281 2.819 S
2.281 0.000 2.819 S
2.281 2.281 0.000 N

---

Which formation energy from raw total energies belongs to each record? In order, -22.43, 4.47 eV per formula unit.
Which size of the total moment belongs to each record? In order, 0.00, 0.50 μB per atom.